No. 1
{"formula": "FeSi2Mo", "functional": "PBE", "state": "optimized geometry", "cell": [[4.5944, -0.0001, 0.0095], [3.7194, 2.6973, 0.0095], [1.2525, 0.4063, 4.1307]], "species": ["Fe", "Mo", "Si", "Si"], "fractional_positions": [[0.5061, 0.5061, 0.4287], [0.7552, 0.7552, 0.7949], [0.9988, 0.9988, 0.9762], [0.2399, 0.2399, 0.3001]], "sg": "Cm, No. 8", "e_tot_ev_per_cell": -31.059, "formation_energy_uncorrected_ev_per_atom": -0.230, "crystal_system": "monoclinic"}

***

No. 2
{"formula": "Ag2HgBr6", "functional": "PBE", "state": "optimized geometry", "cell": [[6.9754, -1.7789, 0.6059], [-0.0242, 10.1279, 2.6160], [-2.6744, 2.2063, 9.8690]], "species": ["Ag", "Ag", "Ag", "Ag", "Hg", "Hg", "Br", "Br", "Br", "Br", "Br", "Br", "Br", "Br", "Br", "Br", "Br", "Br"], "fractional_positions": [[0.4883, 0.4361, 0.2027], [0.0117, 0.7973, 0.5639], [0.5117, 0.5639, 0.7973], [0.9883, 0.2027, 0.4361], [0.2500, 0.9832, 0.0168], [0.7500, 0.0167, 0.9832], [0.7323, 0.3397, 0.4338], [0.7677, 0.5662, 0.6603], [0.2677, 0.6603, 0.5662], [0.2323, 0.4338, 0.3397], [0.2042, 0.0439, 0.4152], [0.2958, 0.5848, 0.9561], [0.7958, 0.9561, 0.5848], [0.7042, 0.4152, 0.0439], [0.0619, 0.2110, 0.9445], [0.4381, 0.0555, 0.7890], [0.9381, 0.7890, 0.0555], [0.5619, 0.9445, 0.2110]], "sg": "C2/c, No. 15", "e_tot_ev_per_cell": -36.673, "formation_energy_uncorrected_ev_per_atom": -0.255, "crystal_system": "monoclinic"}